Entry 1:
Al2Zn2Cu | Alexandria | PBE-GGA | optimized geometry; ΔE to the lowest computed polymorph = 0.0 kJ/mol of formula units; energy of formation from the pure elements = 0.00 eV/atom
1.0
2.785 0.000 0.437
1.358 2.432 0.437
-0.298 -0.175 10.991
Al Zn Cu
2 2 1
Cartesian
1.400 0.822 9.261
2.445 1.435 2.604
3.476 2.040 5.127
0.369 0.217 6.738
0.000 0.000 0.000

***

Entry 2:
CoAgPbCl6 | Alexandria | PBE-GGA | optimized geometry; formation energy without anion corrections = -0.65 eV per atom
1.0
-4.541 4.214 -2.930
-6.106 -1.955 -1.367
-2.040 2.059 5.404
Co Ag Pb Cl
1 1 1 6
Cartesian
-4.621 1.729 1.270
-8.109 2.548 -0.162
-4.548 4.207 -2.929
-2.873 0.084 1.015
-3.220 2.959 2.888
-6.352 3.386 1.525
-5.505 0.439 3.049
-5.903 0.726 -0.450
-3.510 3.149 -0.410

***

| no. | magnetic moment (μB per cell) |
| --- | --- |
| 1 | 0.00 |
| 2 | 3.97 |